## CaHoMg2Cd2 (PBE-GGA)

Data for CaHoMg2Cd2 after structural relaxation.

Lattice parameters (Å, degrees): 5.0471 5.0471 7.0990 90.00 90.00 120.00
Space group P-3m1 (No. 164)
Asymmetric unit:
1 Ca 0.0000 0.0000 0.0000
2 Ho 0.0000 0.0000 0.5000
3 Mg 0.3333 0.6667 0.7291
4 Cd 0.3333 0.6667 0.2768

Fermi-level density of states   7.03 states/eV per cell
Spin magnetization   0.00 μB/f.u.
Formation enthalpy at 0 K   -0.217 eV per atom